[1]
Density functional theory data (PBE-GGA) for a relaxed Y4CuPt crystal.

a = 7.8379 Å, b = 7.8361 Å, c = 7.8361 Å
α = 105.14°, β = 105.15°, γ = 118.50°
Fractional positions:
Y (0.2503, 0.9586, 0.7082)
Y (0.2921, 0.5004, 0.7917)
Y (0.7086, 0.5003, 0.2083)
Y (0.7493, 0.0448, 0.2955)
Y (0.2503, 0.5421, 0.2917)
Y (0.7493, 0.4538, 0.7046)
Y (0.2037, 0.9992, 0.2045)
Y (0.7949, 0.9994, 0.7955)
Cu (0.2539, 0.2538, 0.0001)
Cu (0.0039, 0.5038, 0.5000)
Pt (0.7468, 0.7469, 0.0000)
Pt (0.4969, 0.9969, 0.5000)

Values from the calculation:
- Offset from the most stable computed form: 0.000 eV per atom
- Formation energy from the elements: -0.34 eV/atom

=====

[2]
Density functional theory data (PBE-GGA) for a relaxed ErTl2Br6 crystal.

a = 3.9850 Å, b = 8.3603 Å, c = 9.3144 Å
α = 116.67°, β = 90.00°, γ = 90.00°
Fractional positions:
Br (0.5000, 0.0122, 0.5777)
Br (0.5000, 0.4345, 0.4223)
Br (0.0000, 0.2199, 0.0000)
Br (0.0000, 0.7685, 0.7690)
Br (0.5000, 0.6084, 0.0000)
Br (0.0000, 0.9995, 0.2310)
Tl (0.0000, 0.3326, 0.6717)
Tl (0.0000, 0.6609, 0.3283)
Er (0.5000, 0.9635, 0.0000)

Values from the calculation:
- Raw formation energy: -1.10 eV per atom

=====

[3]
Density functional theory data (PBE-GGA) for a relaxed Li7Cl crystal.

a = 6.0537 Å, b = 6.0537 Å, c = 6.0537 Å
α = 60.00°, β = 60.00°, γ = 60.00°
Fractional positions:
Li (0.0000, 0.5000, 0.0000)
Li (0.0000, 0.0000, 0.5000)
Li (0.5000, 0.0000, 0.0000)
Li (0.5000, 0.0000, 0.5000)
Li (0.5000, 0.5000, 0.0000)
Li (0.5000, 0.5000, 0.5000)
Li (0.0000, 0.5000, 0.5000)
Cl (0.0000, 0.0000, 0.0000)

Values from the calculation:
- Raw formation energy: -0.26 eV per atom

=====

[4]
Density functional theory data (PBE-GGA) for a relaxed BaTa2Sb crystal.

a = 5.8588 Å, b = 6.2560 Å, c = 3.0575 Å
α = 76.16°, β = 89.38°, γ = 117.75°
Fractional positions:
Sb (0.5000, 0.5000, 0.0000)
Ta (0.5000, 0.0000, 0.5000)
Ta (0.0000, 0.0000, 0.0000)
Ba (0.0000, 0.5000, 0.5000)

Values from the calculation:
- Raw formation energy: 0.85 eV per atom

=====

[5]
Density functional theory data (PBE-GGA) for a relaxed V2CrBiAu crystal.

a = 4.7244 Å, b = 5.4424 Å, c = 4.7244 Å
α = 90.00°, β = 90.00°, γ = 90.00°
Each line ends with the local moment (μB).
Fractional positions:
V (0.5000, 0.0000, 0.0000)  0.19
V (0.0000, 0.0000, 0.5000)  0.10
Bi (0.0000, 0.5000, 0.0000)  0.02
Cr (0.5000, 0.5000, 0.5000)  0.06
Au (0.0000, 0.0000, 0.0000)  0.00

Values from the calculation:
- Formation energy from the elements: 2.00 eV/atom

=====

[6]
Density functional theory data (PBE-GGA) for a relaxed NbFeTeIrN crystal.

a = 7.0357 Å, b = 2.9964 Å, c = 7.3177 Å
α = 90.00°, β = 98.87°, γ = 90.00°
Fractional positions:
N (0.8148, 0.5000, 0.9507)
N (0.8148, 0.0000, 0.4507)
Te (0.1925, 0.5000, 0.8443)
Te (0.1925, 0.0000, 0.3443)
Fe (0.9790, 0.0000, 0.0298)
Fe (0.9790, 0.5000, 0.5298)
Ir (0.4200, 0.5000, 0.5973)
Ir (0.4200, 0.0000, 0.0973)
Nb (0.7367, 0.0000, 0.7132)
Nb (0.7367, 0.5000, 0.2132)

Values from the calculation:
- Offset from the most stable computed form: 0.145 eV per atom
- Raw formation energy: -0.01 eV per atom

=====

[7]
Density functional theory data (PBE-GGA) for a relaxed Ho2Tm2Zn crystal.

a = 4.9117 Å, b = 4.9117 Å, c = 12.4696 Å
α = 101.36°, β = 101.36°, γ = 90.00°
Fractional positions:
Tm (0.1804, 0.1804, 0.3607)
Tm (0.9304, 0.4304, 0.8607)
Tm (0.5696, 0.0696, 0.1393)
Tm (0.8196, 0.8196, 0.6393)
Zn (0.2500, 0.7500, 0.5000)
Zn (0.5000, 0.5000, 0.0000)
Ho (0.3239, 0.3239, 0.6477)
Ho (0.0739, 0.5739, 0.1477)
Ho (0.4261, 0.9261, 0.8523)
Ho (0.6761, 0.6761, 0.3523)

Values from the calculation:
- Offset from the most stable computed form: 0.134 eV per atom
- Formation energy from the elements: 0.01 eV/atom

=====

[8]
Density functional theory data (PBE-GGA) for a relaxed Zr2CrPb crystal.

a = 5.2826 Å, b = 5.2826 Å, c = 3.2244 Å
α = 90.00°, β = 90.00°, γ = 109.18°
Each line ends with the local moment (μB).
Fractional positions:
Zr (0.5000, 0.5000, 0.0000)  -0.20
Zr (0.0000, 0.0000, 0.0000)  -0.20
Cr (0.5000, 0.0000, 0.5000)  3.00
Pb (0.0000, 0.5000, 0.5000)  -0.01

Values from the calculation:
- Formation energy from the elements: 0.14 eV/atom

=====

[9]
Density functional theory data (PBE-GGA) for a relaxed SrAc crystal.

a = 4.5913 Å, b = 4.5913 Å, c = 4.5913 Å
α = 90.00°, β = 90.00°, γ = 90.00°
Fractional positions:
Ac (0.0000, 0.0000, 0.0000)
Sr (0.5000, 0.5000, 0.5000)

Values from the calculation:
- Offset from the most stable computed form: 0.095 eV per atom
- Formation energy from the elements: 0.13 eV/atom

=====

[10]
Density functional theory data (PBE-GGA) for a relaxed Ho3Zr2N4 crystal.

a = 3.4101 Å, b = 5.9363 Å, c = 7.3921 Å
α = 76.92°, β = 76.66°, γ = 73.31°
Fractional positions:
Ho (0.1957, 0.4046, 0.2040)
Ho (0.0000, 0.0000, 0.0000)
Ho (0.8043, 0.5954, 0.7960)
Zr (0.6112, 0.1646, 0.6130)
Zr (0.3888, 0.8354, 0.3870)
N (0.2029, 0.9038, 0.6904)
N (0.7971, 0.0962, 0.3096)
N (0.4050, 0.2982, 0.8918)
N (0.5950, 0.7018, 0.1082)

Values from the calculation:
- Raw formation energy: -1.55 eV per atom

=====

[11]
Density functional theory data (PBE-GGA) for a relaxed Ce5Sn4C crystal.

a = 6.0001 Å, b = 7.4245 Å, c = 7.4245 Å
α = 80.60°, β = 66.17°, γ = 66.17°
Each line ends with the local moment (μB).
Fractional positions:
Sn (0.4454, 0.3966, 0.7081)  -0.01
Sn (0.8419, 0.7081, 0.6034)  -0.01
Sn (0.1535, 0.2919, 0.3966)  -0.01
Sn (0.5500, 0.6034, 0.2919)  -0.01
Ce (0.2200, 0.8954, 0.6558)  0.66
Ce (0.1154, 0.6558, 0.1046)  0.66
Ce (0.4739, 0.0000, 0.0000)  0.78
Ce (0.8758, 0.3442, 0.8954)  0.66
Ce (0.7712, 0.1046, 0.3442)  0.66
C (0.0633, 0.0000, 0.0000)  -0.05

Values from the calculation:
- Formation energy from the elements: -0.34 eV/atom

=====

[12]
Density functional theory data (PBE-GGA) for a relaxed La3ReSe2O6 crystal.

a = 5.2745 Å, b = 6.9127 Å, c = 7.2459 Å
α = 118.49°, β = 85.57°, γ = 90.00°
Fractional positions:
O (0.6534, 0.8585, 0.7170)
O (0.7082, 0.8425, 0.0969)
O (0.3466, 0.1415, 0.2830)
O (0.7082, 0.2544, 0.0969)
O (0.2918, 0.7456, 0.9031)
O (0.2918, 0.1575, 0.9031)
Re (0.5000, 0.0000, 0.0000)
La (0.0000, 0.5000, 0.0000)
La (0.5000, 0.5000, 0.5000)
La (0.5000, 0.0000, 0.5000)
Se (0.9229, 0.2846, 0.5692)
Se (0.0771, 0.7154, 0.4308)

Values from the calculation:
- Raw formation energy: -2.09 eV per atom

=====

[13]
Density functional theory data (PBE-GGA) for a relaxed FeH crystal.

a = 4.5790 Å, b = 2.6455 Å, c = 2.6514 Å
α = 60.08°, β = 107.00°, γ = 55.01°
Each line ends with the local moment (μB).
Fractional positions:
H (0.5702, 0.3661, 0.2554)  -0.02
Fe (0.0702, 0.8659, 0.2555)  2.13

Values from the calculation:
- E_tot: -11.8 eV for the cell shown

=====

[14]
Density functional theory data (PBE-GGA) for a relaxed LiAc2AlPt2 crystal.

a = 5.8931 Å, b = 6.0864 Å, c = 9.1821 Å
α = 109.36°, β = 108.72°, γ = 90.00°
Fractional positions:
Al (0.5000, 0.7500, 0.0000)
Al (0.5000, 0.2500, 0.0000)
Ac (0.6037, 0.8364, 0.6728)
Ac (0.0691, 0.3364, 0.6728)
Ac (0.3963, 0.1636, 0.3272)
Ac (0.9309, 0.6636, 0.3272)
Pt (0.1722, 0.8967, 0.7933)
Pt (0.6211, 0.3967, 0.7933)
Pt (0.3789, 0.6033, 0.2067)
Pt (0.8278, 0.1033, 0.2067)
Li (0.0000, 0.7500, 0.0000)
Li (0.0000, 0.2500, 0.0000)

Values from the calculation:
- Formation energy from the elements: -0.87 eV/atom

=====

[15]
Density functional theory data (PBE-GGA) for a relaxed Nd2Co2Ru crystal.

a = 5.5594 Å, b = 5.3449 Å, c = 7.9429 Å
α = 100.65°, β = 90.00°, γ = 121.34°
Fractional positions:
Co (0.2276, 0.2271, 0.5008)
Co (0.9995, 0.2271, 0.0008)
Co (0.0005, 0.7729, 0.9992)
Co (0.7724, 0.7729, 0.4992)
Nd (0.4567, 0.6927, 0.8455)
Nd (0.7640, 0.3073, 0.6545)
Nd (0.5433, 0.3073, 0.1545)
Nd (0.2360, 0.6927, 0.3455)
Ru (0.1194, 0.0000, 0.7500)
Ru (0.8806, 0.0000, 0.2500)

Values from the calculation:
- Offset from the most stable computed form: 0.000 eV per atom
- Formation energy from the elements: -0.08 eV/atom

=====

[16]
Density functional theory data (PBE-GGA) for a relaxed Pr2MnBePt6 crystal.

a = 5.8337 Å, b = 7.2787 Å, c = 7.2789 Å
α = 47.25°, β = 66.37°, γ = 90.00°
Each line ends with the local moment (μB).
Fractional positions:
Be (0.5000, 0.5000, 0.0000)  0.01
Pt (0.2601, 0.2149, 0.4798)  0.09
Pt (0.2601, 0.7399, 0.9548)  0.09
Pt (0.7399, 0.7851, 0.5202)  0.09
Pt (0.2149, 0.2601, 0.0452)  0.09
Pt (0.7399, 0.2601, 0.0452)  0.09
Pt (0.7851, 0.7399, 0.9548)  0.09
Pr (0.2848, 0.7152, 0.4304)  -0.05
Pr (0.7152, 0.2848, 0.5696)  -0.05
Mn (0.0000, 0.0000, 0.0000)  3.51

Values from the calculation:
- Formation energy from the elements: -0.72 eV/atom

=====

[17]
Density functional theory data (PBE-GGA) for a relaxed Y4InRu2 crystal.

a = 7.6548 Å, b = 7.6548 Å, c = 7.6548 Å
α = 108.76°, β = 110.91°, γ = 108.76°
Fractional positions:
Y (0.1492, 0.3973, 0.4050)
Y (0.1550, 0.8973, 0.3992)
Y (0.7423, 0.2442, 0.8450)
Y (0.2481, 0.2558, 0.8508)
Y (0.5019, 0.1027, 0.2577)
Y (0.0077, 0.6027, 0.7519)
Y (0.6008, 0.7558, 0.4981)
Y (0.5950, 0.7442, 0.9923)
Ru (0.8750, 0.1025, 0.4775)
Ru (0.3750, 0.8975, 0.7725)
Ru (0.2275, 0.6025, 0.1250)
Ru (0.5225, 0.3975, 0.6250)
In (0.7500, 0.5000, 0.2500)
In (0.0000, 0.0000, 0.0000)

Values from the calculation:
- Formation energy from the elements: -0.21 eV/atom

=====

[18]
Density functional theory data (PBE-GGA) for a relaxed Rb3U2S7 crystal.

a = 5.1947 Å, b = 5.2348 Å, c = 13.6528 Å
α = 101.05°, β = 90.00°, γ = 90.00°
Each line ends with the local moment (μB).
Fractional positions:
Rb (0.5000, 0.6848, 0.3697)  0.00
Rb (0.5000, 0.5000, 0.0000)  0.00
Rb (0.5000, 0.3152, 0.6303)  0.00
U (0.0000, 0.9022, 0.8045)  0.67
U (0.0000, 0.0978, 0.1955)  0.67
S (0.0000, 0.8107, 0.6215)  -0.04
S (0.0000, 0.5953, 0.1907)  -0.04
S (0.5000, 0.9044, 0.8088)  -0.04
S (0.5000, 0.0956, 0.1912)  -0.04
S (0.0000, 0.0000, 0.0000)  -0.04
S (0.0000, 0.1893, 0.3785)  -0.04
S (0.0000, 0.4047, 0.8093)  -0.04

Values from the calculation:
- Raw formation energy: -1.29 eV per atom

=====

[19]
Density functional theory data (PBE-GGA) for a relaxed LaTb2SnN crystal.

a = 5.0625 Å, b = 4.8670 Å, c = 4.8670 Å
α = 90.00°, β = 90.00°, γ = 90.00°
Fractional positions:
N (0.0000, 0.0000, 0.0000)
Sn (0.5000, 0.5000, 0.5000)
Tb (0.0000, 0.0000, 0.5000)
Tb (0.0000, 0.5000, 0.0000)
La (0.5000, 0.0000, 0.0000)

Values from the calculation:
- Raw formation energy: -1.01 eV per atom

=====

[20]
Density functional theory data (PBE-GGA) for a relaxed RbAsPb2S4 crystal.

a = 8.3991 Å, b = 8.3991 Å, c = 8.2480 Å
α = 119.41°, β = 119.41°, γ = 90.37°
Fractional positions:
Pb (0.0000, 0.0000, 0.5000)
Pb (0.5000, 0.0000, 0.5000)
Pb (0.5000, 0.5000, 0.0000)
Pb (0.5000, 0.0000, 0.0000)
S (0.6997, 0.2653, 0.4825)
S (0.2347, 0.8003, 0.0175)
S (0.2550, 0.2448, 0.0184)
S (0.7653, 0.1997, 0.9825)
S (0.2552, 0.2450, 0.4816)
S (0.7448, 0.7550, 0.5184)
S (0.7450, 0.7552, 0.9816)
S (0.3003, 0.7347, 0.5175)
Rb (0.0000, 0.5000, 0.5000)
Rb (0.0000, 0.5000, 0.0000)
As (0.5000, 0.5000, 0.5000)
As (0.0000, 0.0000, 0.0000)

Values from the calculation:
- Raw formation energy: -0.34 eV per atom